Material: Pm6PbC2
Method: DFT, PBE
State: optimized geometry

**SG**: Fd-3m, No. 227
**Electronic total energy**: -5.4715 eV/atom
**Formation enthalpy at 0 K**: 157 meV/atom
**M_tot**: 3.260 μB/cell
**DOS at the Fermi energy**: 1.122 states/eV/atom

Unit cell a=9.131 b=9.131 c=9.131 alpha=60.00 beta=60.00 gamma=60.00
Atoms (fractional coordinates):
Pm  0.080  0.080  0.670
Pm  0.080  0.670  0.080
Pm  0.080  0.670  0.670
Pm  0.330  0.330  0.920
Pm  0.330  0.920  0.330
Pm  0.330  0.920  0.920
Pm  0.670  0.080  0.080
Pm  0.670  0.080  0.670
Pm  0.670  0.670  0.080
Pm  0.920  0.330  0.330
Pm  0.920  0.330  0.920
Pm  0.920  0.920  0.330
Pb  0.375  0.375  0.375
Pb  0.625  0.625  0.625
C  0.000  0.000  0.000
C  0.000  0.000  0.500
C  0.000  0.500  0.000
C  0.500  0.000  0.000


Material: AgPH2S4
Method: DFT, PBE
State: optimized geometry

**SG**: P1, No. 1
**Electronic total energy**: -4.0963 eV/atom
**M_tot**: 0.000 μB/cell
**DOS at the Fermi energy**: 0.000 states/eV/atom

Unit cell a=6.236 b=6.263 c=6.289 alpha=89.28 beta=61.85 gamma=62.95
Atoms (fractional coordinates):
Ag  0.000  0.000  0.000
P  0.575  0.151  0.713
H  0.122  0.456  0.698
H  0.515  0.927  0.397
S  0.339  0.492  0.649
S  0.348  0.083  0.024
S  0.761  0.866  0.383
S  0.906  0.166  0.671


Material: Pr2YEr5Th
Method: DFT, PBE
State: optimized geometry

**SG**: I4/mcm, No. 140
**Electronic total energy**: -4.8474 eV/atom
**Formation enthalpy at 0 K**: 292 meV/atom
**M_tot**: 0.000 μB/cell
**DOS at the Fermi energy**: 1.258 states/eV/atom

Unit cell a=9.869 b=9.869 c=9.869 alpha=127.73 beta=127.73 gamma=77.07
Atoms (fractional coordinates):
Pr  0.117  0.617  0.734
Pr  0.383  0.117  0.500
Pr  0.617  0.883  0.500
Pr  0.883  0.383  0.266
Y  0.250  0.750  0.500
Y  0.750  0.250  0.500
Er  0.000  0.000  0.000
Er  0.074  0.145  0.500
Er  0.145  0.645  0.071
Er  0.355  0.426  0.500
Er  0.426  0.926  0.071
Er  0.500  0.500  0.000
Er  0.574  0.074  0.929
Er  0.645  0.574  0.500
Er  0.855  0.355  0.929
Er  0.926  0.855  0.500
Th  0.250  0.250  0.000
Th  0.750  0.750  0.000


Material: Ac2TbGe3Au4
Method: DFT, PBE
State: optimized geometry

**SG**: P-4m2, No. 115
**Electronic total energy**: -4.6440 eV/atom
**Formation enthalpy at 0 K**: -663 meV/atom
**M_tot**: 0.000 μB/cell
**DOS at the Fermi energy**: 0.427 states/eV/atom

Unit cell a=4.503 b=4.503 c=11.895 alpha=90.00 beta=90.00 gamma=90.00
Atoms (fractional coordinates):
Ac  0.000  0.500  0.220
Ac  0.500  0.000  0.780
Tb  0.000  0.000  0.500
Ge  0.000  0.500  0.875
Ge  0.500  0.000  0.125
Ge  0.500  0.500  0.500
Au  0.000  0.000  0.000
Au  0.000  0.500  0.656
Au  0.500  0.000  0.344
Au  0.500  0.500  0.000


Material: Pm4Sm5Ho2
Method: DFT, PBE
State: optimized geometry

**SG**: Immm, No. 71
**Electronic total energy**: -4.4650 eV/atom
**Distance to the lowest polymorph of the same formula**: 178 meV per atom
**Formation enthalpy at 0 K**: 240 meV/atom
**M_tot**: 0.000 μB/cell
**DOS at the Fermi energy**: 1.508 states/eV/atom

Unit cell a=12.657 b=12.657 c=12.657 alpha=164.00 beta=136.67 gamma=46.48
Atoms (fractional coordinates):
Pm  0.096  0.096  0.000
Pm  0.201  0.500  0.701
Pm  0.799  0.500  0.299
Pm  0.904  0.904  0.000
Sm  0.147  0.350  0.797
Sm  0.446  0.650  0.797
Sm  0.500  0.000  0.500
Sm  0.554  0.350  0.203
Sm  0.853  0.650  0.203
Ho  0.230  0.230  0.000
Ho  0.770  0.770  0.000


Material: CsGa2Ge8
Method: DFT, PBE
State: optimized geometry

**SG**: C2/m, No. 12
**Electronic total energy**: -3.8846 eV/atom
**Formation enthalpy at 0 K**: 101 meV/atom
**M_tot**: 0.000 μB/cell
**DOS at the Fermi energy**: 0.149 states/eV/atom

Unit cell a=4.144 b=4.144 c=16.052 alpha=97.05 beta=97.05 gamma=87.25
Atoms (fractional coordinates):
Cs  0.000  0.000  0.000
Ga  0.023  0.023  0.621
Ga  0.977  0.977  0.379
Ge  0.088  0.528  0.257
Ge  0.291  0.291  0.507
Ge  0.428  0.428  0.849
Ge  0.472  0.912  0.743
Ge  0.528  0.088  0.257
Ge  0.572  0.572  0.151
Ge  0.709  0.709  0.493
Ge  0.912  0.472  0.743


Material: TbSmTh2Se4
Method: DFT, PBE
State: optimized geometry

**E_form (uncorrected)**: -1.66 eV/atom
**SG**: P2/m, No. 10
**Electronic total energy**: -6.4213 eV/atom
**M_tot**: 0.000 μB/cell
**DOS at the Fermi energy**: 0.647 states/eV/atom

Unit cell a=7.072 b=4.145 c=7.395 alpha=90.00 beta=109.08 gamma=90.00
Atoms (fractional coordinates):
Tb  0.000  0.000  0.000
Sm  0.500  0.500  0.000
Th  0.000  0.500  0.500
Th  0.500  0.000  0.500
Se  0.243  0.500  0.239
Se  0.250  0.000  0.759
Se  0.750  0.000  0.241
Se  0.757  0.500  0.761


Material: TbDyCuSn
Method: DFT, PBE
State: optimized geometry

**SG**: F-43m, No. 216
**Electronic total energy**: -4.7649 eV/atom
**Formation enthalpy at 0 K**: -432 meV/atom
**M_tot**: 0.003 μB/cell
**DOS at the Fermi energy**: 0.896 states/eV/atom

Unit cell a=7.288 b=7.288 c=7.288 alpha=90.00 beta=90.00 gamma=90.00
Atoms (fractional coordinates):
Tb  0.000  0.000  0.000
Tb  0.000  0.500  0.500
Tb  0.500  0.000  0.500
Tb  0.500  0.500  0.000
Dy  0.000  0.000  0.500
Dy  0.000  0.500  0.000
Dy  0.500  0.000  0.000
Dy  0.500  0.500  0.500
Cu  0.250  0.250  0.250
Cu  0.250  0.750  0.750
Cu  0.750  0.250  0.750
Cu  0.750  0.750  0.250
Sn  0.250  0.250  0.750
Sn  0.250  0.750  0.250
Sn  0.750  0.250  0.250
Sn  0.750  0.750  0.750